1.
Material: RbSbTe3Au
Method: DFT, PBE
State: relaxed

For the magnetization, the calculation gives 0.00 Bohr magnetons per cell. As for the formation energy from raw total energies: -2.01 eV per formula unit. As for the total energy: -39.60 eV per cell.

The structure belongs to space group P2_1/m (No. 11); the cell edges are 10.051, 4.422 and 10.405 Å and the angles 90.00°, 108.63° and 90.00°. The distinct sites, in fractional coordinates, are Rb at (0.194, 0.250, 0.250), Sb at (0.335, 0.750, 0.868), Te at (0.127, 0.250, 0.871), Te at (0.228, 0.750, 0.553), Te at (0.465, 0.750, 0.169) and Au at (0.070, 0.250, 0.583).

2.
Material: RbSb2TeAu
Method: DFT, PBE
State: relaxed

The value obtained for the energy relative to the lowest polymorph listed for this composition is 1438 meV/atom. For the magnetization, the calculation gives 0.00 Bohr magnetons per cell. As for the formation energy from raw total energies: 7.60 eV per formula unit. As for the total energy: -8.03 eV per cell.

The structure belongs to space group P4/mmm (No. 123); the cell edges are 6.097, 6.097 and 6.101 Å and the angles 90.00°, 90.00° and 90.00°. The distinct sites, in fractional coordinates, are Rb at (0.000, 0.000, 0.000), Sb at (0.000, 0.500, 0.000), Te at (0.000, 0.000, 0.500) and Au at (0.500, 0.500, 0.500).

3.
Material: RbSb2TeAu
Method: DFT, PBE
State: relaxed

The value obtained for the energy relative to the lowest polymorph listed for this composition is 0 meV/atom. For the magnetization, the calculation gives 0.21 Bohr magnetons per cell. As for the formation energy from raw total energies: 0.41 eV per formula unit. As for the total energy: -15.22 eV per cell.

The structure belongs to space group P4/mmm (No. 123); the cell edges are 5.493, 5.493 and 5.836 Å and the angles 90.00°, 90.00° and 90.00°. The distinct sites, in fractional coordinates, are Rb at (0.000, 0.000, 0.000), Sb at (0.000, 0.500, 0.500), Te at (0.500, 0.500, 0.000) and Au at (0.500, 0.500, 0.500).